CoPOs2 after structural relaxation, computed with PBE.

Output
- theoretical density (g cm⁻³) = 14.598
- D(E_F) (states/eV per atom) = 1.291
- magnetic moment (Bohr magnetons per cell) = 1.24
- ΔH_f (0 K) (eV/f.u.) = 1.89

```
data_CoPOs2
_cell_length_a 2.7568
_cell_length_b 4.2762
_cell_length_c 4.5387
_cell_angle_alpha 90.00
_cell_angle_beta 90.00
_cell_angle_gamma 90.00
_symmetry_space_group_name_H-M 'P m m m'
_symmetry_Int_Tables_number 47
_symmetry_space_group_name_Hall '-P 2 2'
loop_
_atom_site_label
_atom_site_type_symbol
_atom_site_fract_x
_atom_site_fract_y
_atom_site_fract_z
Co1 Co 0.0000 0.0000 0.0000
P1 P 0.5000 0.0000 0.5000
Os1 Os 0.0000 0.5000 0.5000
Os2 Os 0.5000 0.5000 0.0000
```

KLaZr3 after structural relaxation, computed with PBE.

Output
- theoretical density (g cm⁻³) = 4.792
- distance to the lowest polymorph of the same formula (eV/atom) = 0.0000
- D(E_F) (states/eV per atom) = 3.034
- magnetic moment (Bohr magnetons per cell) = 0.00
- ΔH_f (0 K) (eV/f.u.) = 6.45

```
data_KLaZr3
_cell_length_a 5.3891
_cell_length_b 5.3891
_cell_length_c 5.3891
_cell_angle_alpha 90.00
_cell_angle_beta 90.00
_cell_angle_gamma 90.00
_symmetry_space_group_name_H-M 'P m -3 m'
_symmetry_Int_Tables_number 221
_symmetry_space_group_name_Hall '-P 4 2 3'
loop_
_atom_site_label
_atom_site_type_symbol
_atom_site_fract_x
_atom_site_fract_y
_atom_site_fract_z
K1 K 0.0000 0.0000 0.0000
La1 La 0.5000 0.5000 0.5000
Zr1 Zr 0.0000 0.5000 0.5000
```

TbHo7 after structural relaxation, computed with PBE.

Output
- theoretical density (g cm⁻³) = 8.860
- distance to the lowest polymorph of the same formula (eV/atom) = 0.0000
- D(E_F) (states/eV per atom) = 1.441
- magnetic moment (Bohr magnetons per cell) = 0.00
- ΔH_f (0 K) (eV/f.u.) = 0.17

```
data_TbHo7
_cell_length_a 9.9487
_cell_length_b 9.9487
_cell_length_c 9.9487
_cell_angle_alpha 90.00
_cell_angle_beta 90.00
_cell_angle_gamma 90.00
_symmetry_space_group_name_H-M 'F m -3 m'
_symmetry_Int_Tables_number 225
_symmetry_space_group_name_Hall '-F 4 2 3'
loop_
_atom_site_label
_atom_site_type_symbol
_atom_site_fract_x
_atom_site_fract_y
_atom_site_fract_z
Tb1 Tb 0.0000 0.0000 0.0000
Ho1 Ho 0.0000 0.0000 0.5000
Ho2 Ho 0.0000 0.2500 0.2500
```